<i>
{"formula": "DyNiB", "functional": "PBE", "state": "relaxed", "cell": [[4.5196, 0.2842, 0.0000], [-1.9207, 4.1010, 0.0000], [-1.2995, -2.1926, 4.8648]], "species": ["Dy", "Dy", "B", "B", "Ni", "Ni"], "fractional_positions": [[0.9532, 0.0468, 0.0000], [0.7032, 0.2968, 0.5000], [0.6057, 0.3943, 0.0000], [0.3557, 0.6443, 0.5000], [0.0976, 0.9024, 0.5000], [0.3476, 0.6524, 0.0000]], "dos_ef_per_ev_cell": 3.326, "sg": "Fdd2, No. 43"}

---

<ii>
{"formula": "DyNiB", "functional": "PBE", "state": "relaxed", "cell": [[3.8077, 0.0000, 0.0000], [0.0000, 3.6653, 0.0000], [0.0000, -1.8326, 3.1742]], "species": ["Ni", "B", "Dy"], "fractional_positions": [[0.1667, 0.6667, 0.3333], [0.1667, 0.0000, 0.0000], [0.6667, 0.3333, 0.6667]], "dos_ef_per_ev_cell": 2.559, "sg": "P-6m2, No. 187"}

---

Which one is most stable, and which one is least stable? <ii> is the most stable of them, while <i> is the least stable.

---

<i>
{"formula": "DyNi4B4", "functional": "PBE", "state": "relaxed", "cell": [[-2.8496, 2.0438, -1.4261], [-4.6451, -3.9961, 3.5545], [0.4136, 4.4255, 5.5159]], "species": ["B", "B", "B", "B", "B", "B", "B", "B", "Ni", "Ni", "Ni", "Ni", "Ni", "Ni", "Ni", "Ni", "Dy", "Dy"], "fractional_positions": [[0.8957, 0.3322, 0.7949], [0.6043, 0.8322, 0.2949], [0.1043, 0.7949, 0.6678], [0.3957, 0.7051, 0.8322], [0.3957, 0.2949, 0.1678], [0.1043, 0.2051, 0.3322], [0.8957, 0.6678, 0.2051], [0.6043, 0.1678, 0.7051], [0.8936, 0.6080, 0.8545], [0.6064, 0.1080, 0.3545], [0.6064, 0.8920, 0.6455], [0.3936, 0.3545, 0.8920], [0.1064, 0.1455, 0.6080], [0.1064, 0.8545, 0.3920], [0.8936, 0.3920, 0.1455], [0.3936, 0.6455, 0.1080], [0.5000, 0.5000, 0.5000], [0.0000, 0.0000, 0.0000]], "dos_ef_per_ev_cell": 9.478, "sg": "P4_2/n, No. 86"}

---

<ii>
{"formula": "DyNi4B4", "functional": "PBE", "state": "relaxed", "cell": [[5.0464, 0.0000, 0.0000], [0.0000, 5.0464, 0.0000], [0.0000, 0.0000, 7.0533]], "species": ["B", "B", "B", "B", "B", "B", "B", "B", "Ni", "Ni", "Ni", "Ni", "Ni", "Ni", "Ni", "Ni", "Dy", "Dy"], "fractional_positions": [[0.3292, 0.0000, 0.3398], [0.8292, 0.5000, 0.1601], [0.0000, 0.3292, 0.6602], [0.1708, 0.5000, 0.1601], [0.5000, 0.1708, 0.8398], [0.0000, 0.6708, 0.6602], [0.6708, 0.0000, 0.3398], [0.5000, 0.8292, 0.8398], [0.5000, 0.7503, 0.1344], [0.0000, 0.7497, 0.3656], [0.2497, 0.5000, 0.8656], [0.2503, 0.0000, 0.6344], [0.7503, 0.5000, 0.8656], [0.0000, 0.2503, 0.3656], [0.7497, 0.0000, 0.6344], [0.5000, 0.2497, 0.1344], [0.0000, 0.0000, 0.0000], [0.5000, 0.5000, 0.5000]], "dos_ef_per_ev_cell": 13.410, "sg": "P4_2/nmc, No. 137"}

---

Which one is most stable, and which one is least stable? <ii> is the most stable of them, while <i> is the least stable.

---

<i>
{"formula": "Dy2ReB6", "functional": "PBE", "state": "relaxed", "cell": [[3.4396, 0.0000, 0.0000], [0.0000, 5.4003, 0.0000], [-1.7198, -2.7002, 5.8938]], "species": ["B", "B", "B", "B", "B", "B", "Dy", "Dy", "Re"], "fractional_positions": [[0.6190, 0.7685, 0.2380], [0.5000, 0.1654, 0.0000], [0.3810, 0.5305, 0.7620], [0.6190, 0.4695, 0.2380], [0.3810, 0.2315, 0.7620], [0.5000, 0.8346, 0.0000], [0.1625, 0.1625, 0.3250], [0.8375, 0.8375, 0.6750], [0.0000, 0.5000, 0.0000]], "dos_ef_per_ev_cell": 3.549, "sg": "Immm, No. 71"}

---

<ii>
{"formula": "Dy2ReB6", "functional": "PBE", "state": "relaxed", "cell": [[3.6837, 0.0000, 0.0000], [0.0000, 9.1846, 0.0000], [0.0000, 0.0000, 11.5739]], "species": ["B", "B", "B", "B", "B", "B", "B", "B", "B", "B", "B", "B", "B", "B", "B", "B", "B", "B", "B", "B", "B", "B", "B", "B", "Re", "Re", "Re", "Re", "Dy", "Dy", "Dy", "Dy", "Dy", "Dy", "Dy", "Dy"], "fractional_positions": [[0.5000, 0.1000, 0.4719], [0.5000, 0.4000, 0.9719], [0.5000, 0.9820, 0.2118], [0.5000, 0.6303, 0.1859], [0.5000, 0.9470, 0.9328], [0.5000, 0.2911, 0.2346], [0.5000, 0.4820, 0.2882], [0.5000, 0.2486, 0.0815], [0.5000, 0.7089, 0.7654], [0.5000, 0.0530, 0.0672], [0.5000, 0.2089, 0.7346], [0.5000, 0.9000, 0.5281], [0.5000, 0.1303, 0.3141], [0.5000, 0.0180, 0.7882], [0.5000, 0.8697, 0.6859], [0.5000, 0.4470, 0.5672], [0.5000, 0.7514, 0.9185], [0.5000, 0.5180, 0.7118], [0.5000, 0.3697, 0.8141], [0.5000, 0.6000, 0.0281], [0.5000, 0.2514, 0.5815], [0.5000, 0.5530, 0.4328], [0.5000, 0.7911, 0.2654], [0.5000, 0.7486, 0.4185], [0.0000, 0.6376, 0.3209], [0.0000, 0.8624, 0.8209], [0.0000, 0.1376, 0.1791], [0.0000, 0.3624, 0.6791], [0.0000, 0.6766, 0.5858], [0.0000, 0.9425, 0.3700], [0.0000, 0.4425, 0.1300], [0.0000, 0.3234, 0.4142], [0.0000, 0.8234, 0.0858], [0.0000, 0.5575, 0.8700], [0.0000, 0.1766, 0.9142], [0.0000, 0.0575, 0.6300]], "dos_ef_per_ev_cell": 10.862, "sg": "Pbam, No. 55"}

---

Which one is most stable, and which one is least stable? <ii> is the most stable of them, while <i> is the least stable.

---

<i>
{"formula": "Dy2B6Ru", "functional": "PBE", "state": "relaxed", "cell": [[3.4945, 0.0000, 0.0000], [0.0000, 5.3653, 0.0000], [-1.7473, -2.6827, 5.8620]], "species": ["B", "B", "B", "B", "B", "B", "Dy", "Dy", "Ru"], "fractional_positions": [[0.3813, 0.5299, 0.7625], [0.6187, 0.4701, 0.2375], [0.5000, 0.1677, 0.0000], [0.5000, 0.8323, 0.0000], [0.6187, 0.7673, 0.2375], [0.3813, 0.2327, 0.7625], [0.1615, 0.1615, 0.3229], [0.8385, 0.8385, 0.6771], [0.0000, 0.5000, 0.0000]], "dos_ef_per_ev_cell": 2.784, "sg": "Immm, No. 71"}

---

<ii>
{"formula": "Dy2B6Ru", "functional": "PBE", "state": "relaxed", "cell": [[3.6665, 0.0000, 0.0000], [0.0000, 9.1568, 0.0000], [0.0000, 0.0000, 11.5248]], "species": ["Dy", "Dy", "Dy", "Dy", "Dy", "Dy", "Dy", "Dy", "B", "B", "B", "B", "B", "B", "B", "B", "B", "B", "B", "B", "B", "B", "B", "B", "B", "B", "B", "B", "B", "B", "B", "B", "Ru", "Ru", "Ru", "Ru"], "fractional_positions": [[0.0000, 0.9437, 0.3726], [0.0000, 0.5563, 0.8726], [0.0000, 0.0563, 0.6274], [0.0000, 0.1773, 0.9137], [0.0000, 0.6773, 0.5863], [0.0000, 0.3227, 0.4137], [0.0000, 0.8227, 0.0863], [0.0000, 0.4437, 0.1274], [0.5000, 0.6108, 0.0306], [0.5000, 0.2525, 0.5800], [0.5000, 0.1108, 0.4694], [0.5000, 0.0163, 0.7871], [0.5000, 0.9463, 0.9328], [0.5000, 0.9837, 0.2129], [0.5000, 0.7904, 0.2669], [0.5000, 0.5537, 0.4328], [0.5000, 0.7525, 0.9200], [0.5000, 0.8892, 0.5306], [0.5000, 0.2904, 0.2331], [0.5000, 0.7475, 0.4200], [0.5000, 0.3681, 0.8145], [0.5000, 0.2096, 0.7331], [0.5000, 0.3892, 0.9694], [0.5000, 0.4837, 0.2871], [0.5000, 0.8681, 0.6855], [0.5000, 0.5163, 0.7129], [0.5000, 0.4463, 0.5672], [0.5000, 0.7096, 0.7669], [0.5000, 0.2475, 0.0800], [0.5000, 0.0537, 0.0672], [0.5000, 0.1319, 0.3145], [0.5000, 0.6319, 0.1855], [0.0000, 0.1378, 0.1787], [0.0000, 0.8622, 0.8213], [0.0000, 0.3622, 0.6787], [0.0000, 0.6378, 0.3213]], "dos_ef_per_ev_cell": 3.063, "sg": "Pbam, No. 55"}

---

Which one is most stable, and which one is least stable? <ii> is the most stable of them, while <i> is the least stable.

---

<i>
{"formula": "DyTcB4", "functional": "PBE", "state": "relaxed", "cell": [[3.6045, 0.0000, 0.0000], [0.0000, 5.9683, 0.0000], [0.0000, 0.0000, 11.5510]], "species": ["Dy", "Dy", "Dy", "Dy", "B", "B", "B", "B", "B", "B", "B", "B", "B", "B", "B", "B", "B", "B", "B", "B", "Tc", "Tc", "Tc", "Tc"], "fractional_positions": [[0.0000, 0.6270, 0.3500], [0.0000, 0.3730, 0.6500], [0.0000, 0.8730, 0.8500], [0.0000, 0.1270, 0.1500], [0.5000, 0.1360, 0.9686], [0.5000, 0.2872, 0.3152], [0.5000, 0.2128, 0.8152], [0.5000, 0.6131, 0.9528], [0.5000, 0.1131, 0.5472], [0.5000, 0.7128, 0.6848], [0.5000, 0.8869, 0.4528], [0.5000, 0.4773, 0.1923], [0.5000, 0.7872, 0.1848], [0.5000, 0.6360, 0.5314], [0.5000, 0.8640, 0.0314], [0.5000, 0.3640, 0.4686], [0.5000, 0.5227, 0.8077], [0.5000, 0.3869, 0.0472], [0.5000, 0.0227, 0.6923], [0.5000, 0.9773, 0.3077], [0.0000, 0.6327, 0.0874], [0.0000, 0.8673, 0.5874], [0.0000, 0.1327, 0.4126], [0.0000, 0.3673, 0.9126]], "dos_ef_per_ev_cell": 8.833, "sg": "Pbam, No. 55"}

---

<ii>
{"formula": "DyTcB4", "functional": "PBE", "state": "relaxed", "cell": [[-1.5956, -1.6178, 2.1885], [2.9176, -1.1485, 3.5520], [-0.7551, 2.7686, 3.7700]], "species": ["Tc", "B", "B", "B", "B", "Dy"], "fractional_positions": [[0.5000, 0.5000, 0.5000], [0.2491, 0.4149, 0.0870], [0.7509, 0.5851, 0.9130], [0.2491, 0.0870, 0.4149], [0.7509, 0.9130, 0.5851], [0.0000, 0.0000, 0.0000]], "dos_ef_per_ev_cell": 1.721, "sg": "Immm, No. 71"}

---

Which one is most stable, and which one is least stable? <i> is the most stable of them, while <ii> is the least stable.

---

<i>
{"formula": "DyTcB2", "functional": "PBE", "state": "relaxed", "cell": [[-0.8536, -0.3175, 5.2199], [5.8293, -0.8743, 0.9000], [0.8724, 6.3618, 0.5296]], "species": ["Dy", "Dy", "Dy", "Dy", "Tc", "Tc", "Tc", "Tc", "B", "B", "B", "B", "B", "B", "B", "B"], "fractional_positions": [[0.2500, 0.0138, 0.6603], [0.7500, 0.9862, 0.3397], [0.7500, 0.4862, 0.1603], [0.2500, 0.5138, 0.8397], [0.7500, 0.3182, 0.6857], [0.2500, 0.1818, 0.1857], [0.2500, 0.6818, 0.3143], [0.7500, 0.8182, 0.8143], [0.5782, 0.1288, 0.9637], [0.0782, 0.8712, 0.0363], [0.9218, 0.1288, 0.9637], [0.4218, 0.8712, 0.0363], [0.9218, 0.6288, 0.5363], [0.0782, 0.3712, 0.4637], [0.4218, 0.3712, 0.4637], [0.5782, 0.6288, 0.5363]], "dos_ef_per_ev_cell": 2.619, "sg": "Pnma, No. 62"}

---

<ii>
{"formula": "DyTcB2", "functional": "PBE", "state": "relaxed", "cell": [[-0.4866, 3.3922, -1.3175], [-1.7767, 2.5106, 2.0049], [3.3574, 3.3166, 2.1837]], "species": ["B", "B", "Tc", "Dy"], "fractional_positions": [[0.2938, 0.2938, 0.1187], [0.7062, 0.7062, 0.8813], [0.0000, 0.0000, 0.0000], [0.5000, 0.5000, 0.5000]], "dos_ef_per_ev_cell": 2.978, "sg": "R-3m, No. 166"}

---

<iii>
{"formula": "DyTcB2", "functional": "PBE", "state": "relaxed", "cell": [[3.3887, 0.0000, 0.0000], [0.0000, 6.0342, 0.0000], [0.0000, 0.0000, 10.2457]], "species": ["B", "B", "B", "B", "B", "B", "B", "B", "Tc", "Tc", "Tc", "Tc", "Dy", "Dy", "Dy", "Dy"], "fractional_positions": [[0.7500, 0.7691, 0.8120], [0.2500, 0.0326, 0.3254], [0.7500, 0.4674, 0.8254], [0.2500, 0.7309, 0.3120], [0.2500, 0.5326, 0.1746], [0.7500, 0.9674, 0.6746], [0.2500, 0.2309, 0.1880], [0.7500, 0.2691, 0.6880], [0.2500, 0.6259, 0.9376], [0.2500, 0.1259, 0.5624], [0.7500, 0.3741, 0.0624], [0.7500, 0.8741, 0.4376], [0.7500, 0.3882, 0.3615], [0.2500, 0.1118, 0.8615], [0.2500, 0.6118, 0.6385], [0.7500, 0.8882, 0.1385]], "dos_ef_per_ev_cell": 5.243, "sg": "Pnma, No. 62"}

---

Which one is most stable, and which one is least stable? <i> is the most stable of them, while <ii> is the least stable.

---

<i>
{"formula": "DyTcB", "functional": "PBE", "state": "relaxed", "cell": [[-2.7871, -2.5203, 1.6773], [2.6124, -1.3642, 2.2911], [-2.0399, 2.9481, 1.0403]], "species": ["Dy", "B", "Tc"], "fractional_positions": [[0.6666, 0.3333, 0.6667], [0.1668, 0.0000, 0.0000], [0.1667, 0.6667, 0.3333]], "dos_ef_per_ev_cell": 0.965, "sg": "P-6m2, No. 187"}

---

<ii>
{"formula": "DyTcB", "functional": "PBE", "state": "relaxed", "cell": [[-0.6254, -4.0900, 0.9734], [1.3833, -1.1255, -3.8403], [5.0661, -0.3177, 1.9199]], "species": ["B", "B", "Dy", "Dy", "Tc", "Tc"], "fractional_positions": [[0.7500, 0.7499, 0.3891], [0.2500, 0.2501, 0.6109], [0.2500, 0.2500, 0.1237], [0.7500, 0.7500, 0.8763], [0.7500, 0.2500, 0.5249], [0.2500, 0.7500, 0.4751]], "dos_ef_per_ev_cell": 3.575, "sg": "Pmmn, No. 59"}

---

Which one is most stable, and which one is least stable? <ii> is the most stable of them, while <i> is the least stable.

---

<i>
{"formula": "DyTc2B6", "functional": "PBE", "state": "relaxed", "cell": [[3.5185, 0.0000, 0.0000], [0.0000, 4.6039, -2.6581], [0.0000, 0.0000, 5.3161]], "species": ["Tc", "Tc", "B", "B", "B", "B", "B", "B", "Dy"], "fractional_positions": [[0.0000, 0.3333, 0.6667], [0.0000, 0.6667, 0.3333], [0.5000, 0.0000, 0.3409], [0.5000, 0.6591, 0.0000], [0.5000, 0.3409, 0.3409], [0.5000, 0.6591, 0.6591], [0.5000, 0.0000, 0.6591], [0.5000, 0.3409, 0.0000], [0.0000, 0.0000, 0.0000]], "dos_ef_per_ev_cell": 5.179, "sg": "P6/mmm, No. 191"}

---

<ii>
{"formula": "DyTc2B6", "functional": "PBE", "state": "relaxed", "cell": [[3.1323, 0.0000, 0.0000], [1.5661, 5.4505, -0.1701], [1.5661, 1.4021, 5.2699]], "species": ["B", "B", "B", "B", "B", "B", "Dy", "Tc", "Tc"], "fractional_positions": [[0.8098, 0.4343, 0.9460], [0.0000, 0.8462, 0.1538], [0.8098, 0.9460, 0.4343], [0.1902, 0.0540, 0.5657], [0.0000, 0.1538, 0.8462], [0.1902, 0.5657, 0.0540], [0.5000, 0.5000, 0.5000], [0.3388, 0.1612, 0.1612], [0.6612, 0.8388, 0.8388]], "dos_ef_per_ev_cell": 3.547, "sg": "Immm, No. 71"}

---

Which one is most stable, and which one is least stable? <ii> is the most stable of them, while <i> is the least stable.

---

<i>
{"formula": "ErB6", "functional": "PBE", "state": "relaxed", "cell": [[-1.1261, -0.0170, 4.1786], [-0.7738, -3.8958, -1.7184], [4.2134, 0.9221, -0.3548]], "species": ["B", "B", "B", "B", "B", "B", "Er"], "fractional_positions": [[0.7500, 0.2500, 0.5000], [0.7500, 0.5000, 0.2500], [0.5000, 0.2500, 0.7500], [0.2500, 0.7500, 0.5000], [0.5000, 0.7500, 0.2500], [0.2500, 0.5000, 0.7500], [0.0000, 0.0000, 0.0000]], "dos_ef_per_ev_cell": 3.456, "sg": "Im-3m, No. 229"}

---

<ii>
{"formula": "ErB6", "functional": "PBE", "state": "relaxed", "cell": [[4.0867, 0.0000, 0.0000], [0.0000, 4.0867, 0.0000], [0.0000, 0.0000, 4.0867]], "species": ["B", "B", "B", "B", "B", "B", "Er"], "fractional_positions": [[0.5000, 0.5000, 0.8013], [0.1987, 0.5000, 0.5000], [0.5000, 0.5000, 0.1987], [0.5000, 0.8013, 0.5000], [0.8013, 0.5000, 0.5000], [0.5000, 0.1987, 0.5000], [0.0000, 0.0000, 0.0000]], "dos_ef_per_ev_cell": 2.420, "sg": "Pm-3m, No. 221"}

---

Which one is most stable, and which one is least stable? <ii> is the most stable of them, while <i> is the least stable.